NpCrGeO6 (GGA+U, optimized geometry); VASP energy = -8.11 eV/atom; ρ = 7.46 g/cm³; DOS at the Fermi energy = 6.35 states/eV/f.u.; M_tot = 5.0 μB per formula unit
1.0
5.195 0.000 0.000
-2.598 4.499 0.000
0.000 0.000 8.718
Np Cr Ge O
2 2 2 12
Cartesian
0.000 2.999 2.180
2.598 1.500 6.539
0.000 2.999 6.539
2.598 1.500 2.180
0.000 0.000 0.000
0.000 0.000 4.359
-0.767 1.465 5.434
-1.712 3.102 7.643
0.767 1.465 7.643
-0.945 4.431 5.434
1.653 0.068 1.075
0.886 1.397 3.284
1.712 3.102 5.434
0.945 4.431 7.643
3.542 0.068 3.284
1.830 3.034 1.075
4.310 1.397 1.075
3.365 3.034 3.284